a) {
  "formula": "UCuRh2",
  "functional": "PBE-GGA",
  "state": "optimized geometry",
  "space_group": "Fm-3m, No. 225",
  "cell": [[0.0000, 3.2145, 3.2145], [3.2145, 0.0000, 3.2145], [3.2145, 3.2145, 0.0000]],
  "species": ["U", "Cu", "Rh", "Rh"],
  "fractional_positions": [[0.0000, 0.0000, 0.0000], [0.5000, 0.5000, 0.5000], [0.2500, 0.2500, 0.2500], [0.7500, 0.7500, 0.7500]]
}

b) {
  "formula": "UCuRh2",
  "functional": "PBE-GGA",
  "state": "optimized geometry",
  "space_group": "P4/mmm, No. 123",
  "cell": [[3.3633, 0.0000, 0.0000], [0.0000, 3.3633, 0.0000], [0.0000, 0.0000, 5.8426]],
  "species": ["U", "Cu", "Rh", "Rh"],
  "fractional_positions": [[0.0000, 0.0000, 0.0000], [0.0000, 0.0000, 0.5000], [0.5000, 0.5000, 0.2608], [0.5000, 0.5000, 0.7392]]
}

Ordering by calculated energy gives the sequence a), b), with the first entry being the most stable.

a) {
  "formula": "UCuRh2",
  "functional": "PBE-GGA",
  "state": "optimized geometry",
  "space_group": "R-3m, No. 166",
  "cell": [[1.4102, 0.8142, 9.1101], [-1.4102, 0.8142, 9.1101], [0.0000, -1.6284, 9.1101]],
  "species": ["U", "Cu", "Rh", "Rh"],
  "fractional_positions": [[0.0000, 0.0000, 0.0000], [0.5000, 0.5000, 0.5000], [0.2449, 0.2449, 0.2449], [0.7551, 0.7551, 0.7551]]
}

b) {
  "formula": "UCuRh2",
  "functional": "PBE-GGA",
  "state": "optimized geometry",
  "space_group": "P4/mmm, No. 123",
  "cell": [[4.1518, 0.0000, 0.0000], [0.0000, 4.1518, 0.0000], [0.0000, 0.0000, 3.7532]],
  "species": ["U", "Cu", "Rh", "Rh"],
  "fractional_positions": [[0.0000, 0.0000, 0.0000], [0.5000, 0.5000, 0.0000], [0.0000, 0.5000, 0.5000], [0.5000, 0.0000, 0.5000]]
}

Ordering by calculated energy gives the sequence b), a), with the first entry being the most stable.